No. 1
Here is a PBEsol-optimized structure of CaCuP2O7 from the Alexandria database. Energies are from meta-GGA SCAN.

SG: P2_1/c (14)
Uncorrected energy (eV/cell): -464.309
Magnetic moment (Bohr magnetons per cell): 4.0
E_form (uncorrected) (kJ/mol of formula units): -2586

Cell: 7.3304 8.4395 8.7300 Å, 90.00 90.00 110.40°
Closest atoms and distances in Å follow each position.
Atoms (fractional coordinates):
O1 0.4058 0.3055 0.2862  1 P 1.51
O2 0.6550 0.1237 0.3913  1 P 1.50
O3 0.5942 0.6945 0.7138  1 P 1.51
O4 0.8450 0.3763 0.8913  1 P 1.50
O5 0.0960 0.1557 0.1314  1 P 1.52
O6 0.3450 0.8763 0.6087  1 P 1.50
O7 0.8258 0.4522 0.2329  1 P 1.53
O8 0.6299 0.9033 0.1835  2 P 1.61-1.63
O9 0.5901 0.1553 0.1012  1 P 1.56
O10 0.4040 0.3443 0.6314  1 P 1.52
O11 0.6742 0.0478 0.7329  1 P 1.53
O12 0.9008 0.8759 0.5774  1 P 1.56
O13 0.8701 0.5967 0.6835  2 P 1.61-1.63
O14 0.0942 0.1945 0.7862  1 P 1.51
O15 0.9058 0.8055 0.2138  1 P 1.51
O16 0.5992 0.6241 0.0774  1 P 1.56
O17 0.1550 0.6237 0.1087  1 P 1.50
O18 0.1299 0.4033 0.3165  2 P 1.61-1.63
O19 0.4008 0.3759 0.9226  1 P 1.56
O20 0.0901 0.6553 0.3988  1 P 1.56
O21 0.3701 0.0967 0.8165  2 P 1.61-1.63
O22 0.9099 0.3447 0.6012  1 P 1.56
O23 0.1742 0.5478 0.7671  1 P 1.53
O24 0.4099 0.8447 0.8988  1 P 1.56
O25 0.3258 0.9522 0.2671  1 P 1.53
O26 0.9040 0.8443 0.8686  1 P 1.52
O27 0.0992 0.1241 0.4226  1 P 1.56
O28 0.5960 0.6557 0.3686  1 P 1.52
P1 0.6857 0.7389 0.2193  4 O 1.51-1.61
P2 0.0455 0.5449 0.2513  4 O 1.50-1.63
P3 0.9545 0.4551 0.7487  4 O 1.50-1.63
P4 0.1857 0.2389 0.2807  4 O 1.51-1.61
P5 0.4545 0.9551 0.7513  4 O 1.50-1.63
P6 0.8143 0.7611 0.7193  4 O 1.51-1.61
P7 0.5455 0.0449 0.2487  4 O 1.50-1.63
P8 0.3143 0.2611 0.7807  4 O 1.51-1.61
Cu1 0.6095 0.3932 0.0799  4 O 1.97-2.02
Cu2 0.8905 0.1068 0.5799  4 O 1.97-2.02
Cu3 0.1095 0.8932 0.4201  4 O 1.97-2.02
Cu4 0.3905 0.6068 0.9201  4 O 1.97-2.02
Ca1 0.8429 0.1087 0.9624  6 O 2.29-2.56
Ca2 0.6571 0.3913 0.4624  6 O 2.29-2.56
Ca3 0.1571 0.8913 0.0376  6 O 2.29-2.56
Ca4 0.3429 0.6087 0.5376  6 O 2.29-2.56


No. 2
Here is a PBEsol-optimized structure of Sr4CaYCu6Pb4O16 from the Alexandria database. Energies are from meta-GGA SCAN.

SG: I4/mmm (139)
Uncorrected energy (eV/cell): -679.441
Magnetic moment (Bohr magnetons per cell): 0.0
E_form (uncorrected) (kJ/mol of formula units): -5675

Cell: 5.3202 5.3202 16.1591 Å, 99.48 99.48 90.00°
Closest atoms and distances in Å follow each position.
Atoms (fractional coordinates):
Cu1 0.9473 0.4473 0.8947  4 O 1.89
Cu2 0.5527 0.0527 0.1053  4 O 1.89
Cu3 0.4473 0.9473 0.8947  4 O 1.89
Cu4 0.0527 0.5527 0.1053  4 O 1.89
Cu5 0.7503 0.7503 0.5006  2 O 1.83
Cu6 0.2497 0.2497 0.4994  2 O 1.83
O1 0.1913 0.1913 0.3826  1 Cu 1.83
O2 0.1251 0.6251 0.2502  1 Pb 2.16, 1 Cu 2.28
O3 0.7928 0.7928 0.0948  2 Cu 1.89
O4 0.8087 0.8087 0.6174  1 Cu 1.83
O5 0.3019 0.7928 0.0948  2 Cu 1.89
O6 0.2072 0.6981 0.9052  2 Cu 1.89
O7 0.6981 0.2072 0.9052  2 Cu 1.89
O8 0.6981 0.6981 0.9052  2 Cu 1.89
O9 0.3019 0.3019 0.0948  2 Cu 1.89
O10 0.8749 0.3749 0.7498  1 Pb 2.16, 1 Cu 2.28
O11 0.3080 0.3080 0.6161  1 Cu 1.83
O12 0.2072 0.2072 0.9052  2 Cu 1.89
O13 0.7928 0.3019 0.0948  2 Cu 1.89
O14 0.6920 0.6920 0.3839  1 Cu 1.83
O15 0.6251 0.1251 0.2502  1 Pb 2.16, 1 Cu 2.28
O16 0.3749 0.8749 0.7498  1 Pb 2.16, 1 Cu 2.28
Pb1 0.1938 0.6938 0.3875  1 O 2.16
Pb2 0.8062 0.3062 0.6125  1 O 2.16
Pb3 0.6938 0.1938 0.3875  1 O 2.16
Pb4 0.3062 0.8062 0.6125  1 O 2.16
Sr1 0.6099 0.6099 0.2197  9 O 2.58-2.70
Sr2 0.3901 0.3901 0.7803  9 O 2.58-2.70
Sr3 0.8912 0.8912 0.7823  9 O 2.59-2.72
Sr4 0.1088 0.1088 0.2177  9 O 2.59-2.72
Ca1 0.0000 0.0000 0.0000  8 O 2.43
Y1 0.5000 0.5000 0.0000  8 O 2.37


No. 3
Here is a PBEsol-optimized structure of Sr2CaPr3Cu4O12 from the Alexandria database. Energies are from meta-GGA SCAN.

SG: Amm2 (38)
Uncorrected energy (eV/cell): -372.603
Magnetic moment (Bohr magnetons per cell): 0.5
E_form (uncorrected) (kJ/mol of formula units): -5098

Cell: 5.3355 5.3401 10.0645 Å, 105.38 90.00 90.00°
Closest atoms and distances in Å follow each position.
Atoms (fractional coordinates):
O1 0.5000 0.2040 0.4080  1 Cu 2.24, 1 Pr 2.32
O2 0.7501 0.8340 0.1679  2 Cu 1.89
O3 0.2524 0.1679 0.8252  2 Cu 1.88-1.90
O4 0.2524 0.6573 0.8252  2 Cu 1.88-1.90
O5 0.2499 0.3339 0.1679  2 Cu 1.89
O6 0.0000 0.7044 0.4088  1 Cu 2.25, 1 Pr 2.29
O7 0.0000 0.2957 0.5914  1 Cu 2.31, 1 Pr 2.33
O8 0.7501 0.3339 0.1679  2 Cu 1.89
O9 0.7476 0.6573 0.8252  2 Cu 1.88-1.90
O10 0.5000 0.8034 0.6068  1 Cu 2.11
O11 0.2499 0.8340 0.1679  2 Cu 1.89
O12 0.7476 0.1679 0.8252  2 Cu 1.88-1.90
Pr1 0.0000 0.8222 0.6443  1 O 2.29
Pr2 0.5000 0.3233 0.6466  5 O 2.32-2.54
Pr3 0.0000 0.1757 0.3514  5 O 2.33-2.59
Cu1 0.5000 0.9120 0.8240  5 O 1.90-2.11
Cu2 0.5000 0.0888 0.1775  4 O 1.89
Cu3 0.0000 0.4147 0.8294  4 O 1.88
Cu4 0.0000 0.5884 0.1768  4 O 1.89
Sr1 0.0000 0.9991 0.9982  8 O 2.50-2.55
Sr2 0.5000 0.6787 0.3574  5 O 2.42-2.63
Ca1 0.5000 0.5035 0.0069  8 O 2.45-2.56


No. 4
Here is a PBEsol-optimized structure of CaCu3Pt4O12 from the Alexandria database. Energies are from meta-GGA SCAN.

SG: Im-3 (204)
Uncorrected energy (eV/cell): -430.536
Magnetic moment (Bohr magnetons per cell): 3.0
E_form (uncorrected) (kJ/mol of formula units): -1903

Cell: 6.4875 6.4875 6.4875 Å, 109.47 109.47 109.47°
Closest atoms and distances in Å follow each position.
Atoms (fractional coordinates):
O1 0.1665 0.8603 0.6938  1 Cu 1.91, 2 Pt 2.02
O2 0.8603 0.6938 0.1665  1 Cu 1.91, 2 Pt 2.02
O3 0.4727 0.3062 0.1665  1 Cu 1.91, 2 Pt 2.02
O4 0.5273 0.6938 0.8335  1 Cu 1.91, 2 Pt 2.02
O5 0.8335 0.5273 0.6938  1 Cu 1.91, 2 Pt 2.02
O6 0.3062 0.1665 0.4727  1 Cu 1.91, 2 Pt 2.02
O7 0.3062 0.8335 0.1397  1 Cu 1.91, 2 Pt 2.02
O8 0.8335 0.1397 0.3062  1 Cu 1.91, 2 Pt 2.02
O9 0.1665 0.4727 0.3062  1 Cu 1.91, 2 Pt 2.02
O10 0.1397 0.3062 0.8335  1 Cu 1.91, 2 Pt 2.02
O11 0.6938 0.1665 0.8603  1 Cu 1.91, 2 Pt 2.02
O12 0.6938 0.8335 0.5273  1 Cu 1.91, 2 Pt 2.02
Pt1 0.0000 0.0000 0.5000  6 O 2.02
Pt2 0.5000 0.0000 0.0000  6 O 2.02
Pt3 0.0000 0.5000 0.0000  6 O 2.02
Pt4 0.5000 0.5000 0.5000  6 O 2.02
Cu1 0.0000 0.5000 0.5000  4 O 1.91
Cu2 0.5000 0.0000 0.5000  4 O 1.91
Cu3 0.5000 0.5000 0.0000  4 O 1.91
Ca1 0.0000 0.0000 0.0000  12 O 2.61


No. 5
Here is a PBEsol-optimized structure of Ca3CuRhO6 from the Alexandria database. Energies are from meta-GGA SCAN.

SG: C2/c (15)
Uncorrected energy (eV/cell): -279.261
Magnetic moment (Bohr magnetons per cell): 0.0
E_form (uncorrected) (kJ/mol of formula units): -2343

Cell: 6.3551 6.4193 6.4193 Å, 91.23 90.27 90.27°
Closest atoms and distances in Å follow each position.
Atoms (fractional coordinates):
Ca1 0.1244 0.2381 0.3857  7 O 2.32-2.59
Ca2 0.2500 0.0997 0.9003  4 O 2.30-2.43
Ca3 0.3756 0.6143 0.7619  7 O 2.32-2.59
Ca4 0.7500 0.9003 0.0997  4 O 2.30-2.43
Ca5 0.6244 0.3857 0.2381  7 O 2.32-2.59
Ca6 0.8756 0.7619 0.6143  7 O 2.32-2.59
O1 0.4317 0.0777 0.2094  1 Rh 1.99
O2 0.4565 0.2917 0.6055  1 Cu 1.94, 1 Rh 2.00
O3 0.9565 0.6055 0.2917  1 Cu 1.94, 1 Rh 2.00
O4 0.2068 0.8940 0.5292  1 Cu 1.92, 1 Rh 1.99
O5 0.0435 0.3945 0.7083  1 Cu 1.94, 1 Rh 2.00
O6 0.7932 0.1060 0.4708  1 Cu 1.92, 1 Rh 1.99
O7 0.5435 0.7083 0.3945  1 Cu 1.94, 1 Rh 2.00
O8 0.5683 0.9223 0.7906  1 Rh 1.99
O9 0.2932 0.4708 0.1060  1 Cu 1.92, 1 Rh 1.99
O10 0.7068 0.5292 0.8940  1 Cu 1.92, 1 Rh 1.99
O11 0.0683 0.7906 0.9223  1 Rh 1.99
O12 0.9317 0.2094 0.0777  1 Rh 1.99
Cu1 0.7500 0.3085 0.6915  4 O 1.92-1.94
Cu2 0.2500 0.6915 0.3085  4 O 1.92-1.94
Rh1 0.5000 0.0000 0.5000  6 O 1.99-2.00
Rh2 0.0000 0.5000 0.0000  6 O 1.99-2.00


No. 6
Here is a PBEsol-optimized structure of Ca5Cu2Rh2O12 from the Alexandria database. Energies are from meta-GGA SCAN.

SG: P1 (1)
Uncorrected energy (eV/cell): -262.340
Magnetic moment (Bohr magnetons per cell): 2.0
E_form (uncorrected) (kJ/mol of formula units): -3985

Cell: 6.3202 6.4239 6.4338 Å, 92.57 90.35 91.26°
Closest atoms and distances in Å follow each position.
Atoms (fractional coordinates):
O1 0.2954 0.4750 0.0937  1 Cu 1.88, 1 Rh 2.01
O2 0.5371 0.6997 0.3938  1 Cu 1.91, 1 Rh 2.02
O3 0.9526 0.6297 0.2840  1 Cu 1.88, 1 Rh 2.01
O4 0.0441 0.4001 0.7104  1 Cu 1.88, 1 Rh 1.96
O5 0.4713 0.2861 0.6192  1 Cu 1.86, 1 Rh 1.99
O6 0.0684 0.7947 0.9200  1 Rh 1.99
O7 0.4484 0.0666 0.2156  1 Rh 1.94
O8 0.7094 0.5347 0.8773  1 Cu 1.89, 1 Rh 1.98
O9 0.5630 0.9224 0.7890  1 Rh 1.98
O10 0.2119 0.8611 0.5322  1 Cu 1.84, 1 Rh 1.97
O11 0.7862 0.1055 0.4743  1 Cu 1.86, 1 Rh 1.99
O12 0.9137 0.2251 0.0605  1 Rh 1.92
Ca1 0.6255 0.3797 0.2469  4 O 2.28-2.41
Ca2 0.2494 0.1114 0.9250  5 O 2.28-2.54
Ca3 0.8740 0.7722 0.6126  5 O 2.27-2.47
Ca4 0.7620 0.9072 0.1051  5 O 2.27-2.49
Ca5 0.3707 0.6104 0.7588  7 O 2.32-2.48
Rh1 0.9960 0.5048 0.9962  6 O 1.92-2.01
Rh2 0.4918 0.9960 0.5020  6 O 1.94-2.02
Cu1 0.2467 0.6697 0.3145  4 O 1.84-1.91
Cu2 0.7588 0.3119 0.6833  4 O 1.86-1.89